{"formula": "Na6CdPb5", "functional": "PBE-GGA", "state": "optimized geometry", "delta_e_f_ev_per_atom": -0.13, "sg": "Cmmm", "total_energy_ev_per_atom": -2.41, "lattice_angstrom": [[-4.7875, -0.6599, 0.4490], [-1.7326, -6.9341, -2.4318], [1.3308, -3.5036, 9.0419]], "species": ["Na", "Na", "Na", "Na", "Na", "Na", "Pb", "Pb", "Pb", "Pb", "Pb", "Cd"], "frac_coords": [[0.1661, 0.6674, 0.7511], [0.4998, 0.0000, 0.7520], [0.5002, 0.0000, 0.2480], [0.8339, 0.3326, 0.2489], [0.1665, 0.6674, 0.2489], [0.8335, 0.3326, 0.7511], [0.6684, 0.6631, 0.0000], [0.3316, 0.3369, 0.0000], [0.3328, 0.3344, 0.5000], [0.6672, 0.6656, 0.5000], [0.0000, 0.0000, 0.5000], [0.0000, 0.0000, 0.0000]]}